PBE ZrSiO3, optimized geometry; total energy = -7.502 eV/atom; formation energy (no corrections) = -1.73 eV/atom; density = 4.00 g cm⁻³
1.0
-0.9262 -3.9391 -0.7162
0.3249 -0.8066 4.0163
-3.9904 0.8486 0.4932
Si O Zr
1 3 1
Cartesian
-2.2959 -1.9486 1.8967 Si
0.1624 -0.4033 2.0082 O
-1.9952 0.4243 0.2466 O
-0.4631 -1.9695 -0.3581 O
0.0000 0.0000 0.0000 Zr